Computed, not measured: Na2Ca3B5H2S2ClO18 after structural relaxation at the GGA-PBEsol level of DFT.

abc: 6.377 6.377 18.671
angles: 92.06 92.06 75.60
Sites, in units of the cell vectors:
1 Na 0.067 0.621 0.924
2 Na 0.379 0.933 0.576
3 Na 0.621 0.067 0.424
4 Na 0.933 0.379 0.076
5 Ca 0.107 0.893 0.750
6 Ca 0.150 0.673 0.402
7 Ca 0.327 0.850 0.098
8 Ca 0.673 0.150 0.902
9 Ca 0.850 0.327 0.598
10 Ca 0.893 0.107 0.250
11 B 0.009 0.471 0.749
12 B 0.306 0.694 0.250
13 B 0.321 0.348 0.182
14 B 0.348 0.321 0.682
15 B 0.471 0.009 0.249
16 B 0.529 0.991 0.751
17 B 0.652 0.679 0.318
18 B 0.679 0.652 0.818
19 B 0.694 0.306 0.750
20 B 0.991 0.529 0.251
21 H 0.299 0.401 0.575
22 H 0.401 0.299 0.075
23 H 0.599 0.701 0.925
24 H 0.701 0.599 0.425
25 S 0.114 0.161 0.422
26 S 0.161 0.114 0.922
27 S 0.839 0.886 0.078
28 S 0.886 0.839 0.578
29 Cl 0.500 0.500 0.000
30 Cl 0.500 0.500 0.500
31 O 0.010 0.716 0.519
32 O 0.021 0.710 0.050
33 O 0.032 0.941 0.625
34 O 0.059 0.968 0.875
35 O 0.077 0.702 0.270
36 O 0.101 0.357 0.210
37 O 0.204 0.491 0.727
38 O 0.209 0.300 0.378
39 O 0.247 0.315 0.610
40 O 0.284 0.990 0.981
41 O 0.290 0.979 0.450
42 O 0.298 0.923 0.230
43 O 0.300 0.209 0.878
44 O 0.315 0.247 0.110
45 O 0.357 0.101 0.710
46 O 0.359 0.564 0.184
47 O 0.436 0.641 0.316
48 O 0.491 0.204 0.227
49 O 0.509 0.796 0.773
50 O 0.564 0.359 0.684
51 O 0.641 0.436 0.816
52 O 0.643 0.899 0.290
53 O 0.685 0.753 0.890
54 O 0.700 0.791 0.122
55 O 0.702 0.077 0.770
56 O 0.710 0.021 0.550
57 O 0.716 0.010 0.019
58 O 0.753 0.685 0.390
59 O 0.791 0.700 0.622
60 O 0.796 0.509 0.273
61 O 0.899 0.643 0.790
62 O 0.923 0.298 0.730
63 O 0.941 0.032 0.125
64 O 0.968 0.059 0.375
65 O 0.979 0.290 0.950
66 O 0.990 0.284 0.481

**Calculated total energy**: -231.5 eV/f.u.
**DOS(E_F)**: 0.000 states/eV per atom
**Density**: 2.8 g/cm3



Computed, not measured: HfNiAs after structural relaxation at the GGA-PBEsol level of DFT.

abc: 6.366 3.825 7.223
angles: 90.00 90.00 90.00
Sites, in units of the cell vectors:
1 Hf 0.014 0.250 0.187
2 Hf 0.486 0.750 0.687
3 Hf 0.514 0.250 0.313
4 Hf 0.986 0.750 0.813
5 Ni 0.166 0.250 0.575
6 Ni 0.334 0.750 0.075
7 Ni 0.666 0.250 0.925
8 Ni 0.834 0.750 0.425
9 As 0.218 0.750 0.393
10 As 0.282 0.250 0.893
11 As 0.718 0.750 0.107
12 As 0.782 0.250 0.607

**Calculated total energy**: -24.4 eV/f.u.
**DOS(E_F)**: 0.517 states/eV per atom
**Density**: 11.8 g/cm3



Computed, not measured: Ba2SrLi2 after structural relaxation at the GGA-PBEsol level of DFT.

abc: 4.109 4.109 25.626
angles: 90.00 90.00 90.00
Sites, in units of the cell vectors:
1 Ba 0.000 0.000 0.129
2 Ba 0.000 0.000 0.871
3 Ba 0.500 0.500 0.371
4 Ba 0.500 0.500 0.629
5 Sr 0.000 0.000 0.500
6 Sr 0.500 0.500 0.000
7 Li 0.000 0.500 0.250
8 Li 0.000 0.500 0.750
9 Li 0.500 0.000 0.250
10 Li 0.500 0.000 0.750

**DOS(E_F)**: 1.128 states/eV per atom
**Density**: 2.9 g/cm3
**Energy relative to the lowest polymorph listed for this composition**: 60 meV/atom



- Which of these has the highest DOS(E_F)?
  Ba2SrLi2